1.
Tm5HgPt2 | PBE-GGA | optimized geometry

Cell and atoms, written as extended XYZ:
```
16
Lattice="7.020 0.000 -3.314 -1.564 6.843 -3.314 -0.268 -0.336 8.525" Properties=species:S:1:pos:R:3 pbc="T T T"
Tm 2.359 4.567 2.112
Tm 3.988 6.612 -3.528
Tm 0.000 0.000 0.000
Tm 2.728 3.422 -3.314
Tm 1.199 -0.104 5.425
Tm 4.423 1.146 3.163
Tm -0.865 3.317 4.374
Tm 0.764 5.361 -1.266
Tm 6.053 3.190 -2.476
Tm 2.829 1.940 -0.214
Hg 3.958 4.964 -0.708
Hg 1.230 1.543 2.605
Pt 0.407 2.473 -1.657
Pt 4.266 0.948 -2.575
Pt 1.190 5.895 -4.052
Pt 5.048 4.370 -4.970
```

Output
SG: I4/mcm, No. 140
total magnetic moment: 0.00 μB per cell
calculated total energy: -5.20 eV/atom



2.
LiAl2Ir | PBE-GGA | optimized geometry

Cell and atoms, written as extended XYZ:
```
4
Lattice="8.845 -0.008 -0.004 8.388 2.808 -0.004 8.388 1.363 2.455" Properties=species:S:1:pos:R:3 pbc="T T T"
Al 25.577 4.157 2.442
Al 6.244 1.015 0.596
Ir 12.892 2.095 1.231
Li 19.339 3.143 1.847
```

Output
SG: R3m, No. 160
ΔE to the lowest computed polymorph: 500 meV per atom
total magnetic moment: 0.00 μB per cell



3.
AlBH2 | PBE-GGA | optimized geometry

Cell and atoms, written as extended XYZ:
```
8
Lattice="-1.531 3.662 -0.590 -3.708 -1.911 2.209 3.479 0.347 3.487" Properties=species:S:1:pos:R:3 pbc="T T T"
Al 1.712 1.374 3.349
Al -3.472 0.724 1.757
B -2.066 1.449 4.543
B 0.306 0.649 0.562
H 0.453 3.063 2.517
H -2.213 -0.965 2.589
H 0.113 0.463 1.762
H -1.873 1.635 3.344
```

Output
SG: P-1, No. 2
ΔE to the lowest computed polymorph: 12 meV per atom
total magnetic moment: 0.00 μB per cell



4.
NdTmV | PBE-GGA | optimized geometry

Cell and atoms, written as extended XYZ:
```
6
Lattice="-2.066 -0.551 2.671 1.850 -2.746 0.864 7.991 7.835 7.797" Properties=species:S:1:pos:R:3 pbc="T T T"
V 0.000 0.000 0.000
V -0.108 -1.649 1.768
Tm 5.649 3.259 5.042
Tm 2.234 2.927 4.523
Nd 2.555 0.225 2.023
Nd 5.328 5.961 7.542
```

Output
SG: P4/nmm, No. 129
total magnetic moment: 0.00 μB per cell
calculated total energy: -5.73 eV/atom



5.
Rb3InAu | PBE-GGA | optimized geometry

Cell and atoms, written as extended XYZ:
```
5
Lattice="6.579 0.000 0.000 0.000 6.579 0.000 0.000 0.000 6.579" Properties=species:S:1:pos:R:3 pbc="T T T"
Au 0.000 0.000 0.000
Rb 0.000 3.289 0.000
Rb 0.000 0.000 3.289
Rb 3.289 0.000 0.000
In 3.289 3.289 3.289
```

Output
SG: Pm-3m, No. 221
ΔE to the lowest computed polymorph: 160 meV per atom
total magnetic moment: 0.00 μB per cell



6.
BiHAuIN | PBE-GGA | optimized geometry

Cell and atoms, written as extended XYZ:
```
10
Lattice="7.902 0.000 -0.029 0.000 3.575 0.000 -4.835 0.000 8.592" Properties=species:S:1:pos:R:3 pbc="T T T"
I 1.085 0.000 8.445
I 3.502 1.787 4.149
H 0.773 0.000 5.228
H 3.190 1.787 0.932
Au -0.585 0.000 6.079
Au 1.832 1.787 1.784
Bi -1.190 0.000 3.308
Bi -3.608 1.787 7.604
N -2.410 0.000 7.063
N 0.008 1.787 2.767
```

Output
SG: Cm, No. 8
ΔE to the lowest computed polymorph: 322 meV per atom
total magnetic moment: 1.45 μB per cell



7.
LiCa2Zn2 | PBE-GGA | optimized geometry

Cell and atoms, written as extended XYZ:
```
5
Lattice="4.036 0.000 1.719 1.180 5.132 2.826 -0.160 0.065 5.974" Properties=species:S:1:pos:R:3 pbc="T T T"
Li 2.608 2.566 2.273
Ca 3.743 4.087 5.206
Ca 1.313 1.109 5.313
Zn 0.214 1.143 2.297
Zn 4.842 4.053 8.222
```

Output
SG: Immm, No. 71
ΔE to the lowest computed polymorph: 0 meV per atom
total magnetic moment: 0.00 μB per cell



8.
SrAlSb2 | PBE-GGA | optimized geometry

Cell and atoms, written as extended XYZ:
```
32
Lattice="8.410 -0.688 1.538 -0.880 8.392 1.538 0.688 0.704 15.497" Properties=species:S:1:pos:R:3 pbc="T T T"
Sr 6.974 1.599 15.141
Sr 7.123 1.751 11.180
Sr 1.244 6.809 3.432
Sr 1.095 6.657 7.393
Sr 3.027 2.320 10.719
Sr 6.312 5.680 15.603
Sr 5.191 6.088 7.855
Sr 1.907 2.727 2.971
Al 0.532 6.972 11.319
Al 1.604 8.068 15.003
Al 7.686 1.436 7.255
Al 6.614 0.340 3.570
Al 4.683 6.502 12.429
Al 2.169 3.930 13.893
Al 3.535 1.906 6.145
Al 6.049 4.478 4.680
Sb 1.561 5.528 16.029
Sb 3.071 7.073 10.293
Sb 6.657 2.880 2.545
Sb 5.147 1.335 8.281
Sb 7.739 4.048 6.742
Sb 4.003 0.227 4.083
Sb 0.479 4.359 11.832
Sb 4.215 8.181 14.490
Sb 7.075 6.795 10.968
Sb 1.931 1.532 15.354
Sb 1.143 1.613 7.605
Sb 6.288 6.876 3.220
Sb 8.388 -0.323 5.413
Sb -0.170 8.731 13.161
Sb 3.399 4.554 5.413
Sb 4.820 3.853 13.161
```

Output
SG: C2/c, No. 15
raw formation energy: -0.4914 eV/atom
total magnetic moment: 0.00 μB per cell



9.
ReW | PBE-GGA | optimized geometry

Cell and atoms, written as extended XYZ:
```
4
Lattice="0.000 -0.004 4.464 3.035 -0.804 -0.001 2.659 3.902 2.239" Properties=species:S:1:pos:R:3 pbc="T T T"
Re 3.048 -0.762 4.091
Re 3.594 1.301 1.863
W 4.167 3.461 4.097
W 2.098 1.785 4.097
```

Output
SG: Imma, No. 74
ΔE to the lowest computed polymorph: 0 meV per atom
total magnetic moment: 0.00 μB per cell



10.
BaNa | PBE-GGA | optimized geometry

Cell and atoms, written as extended XYZ:
```
2
Lattice="4.701 0.000 0.000 0.000 4.701 0.000 0.000 0.000 4.701" Properties=species:S:1:pos:R:3 pbc="T T T"
Na 2.350 2.350 2.350
Ba 0.000 0.000 0.000
```

Output
SG: Pm-3m, No. 221
ΔE to the lowest computed polymorph: 33 meV per atom
total magnetic moment: 0.00 μB per cell



11.
Pr2Y3Co | PBE-GGA | optimized geometry

Cell and atoms, written as extended XYZ:
```
12
Lattice="5.331 0.000 -1.752 -0.478 7.154 -1.455 0.221 0.195 9.659" Properties=species:S:1:pos:R:3 pbc="T T T"
Pr 1.456 2.904 4.442
Pr 1.224 6.481 3.712
Pr 3.850 0.868 2.740
Pr 3.617 4.445 2.010
Y 2.203 5.366 -1.933
Y 2.649 1.789 -1.274
Y 4.510 6.963 4.737
Y 0.325 3.963 0.988
Y 4.749 3.386 5.464
Y 0.563 0.386 1.716
Co 0.016 1.789 -0.408
Co 4.836 5.366 -2.798
```

Output
SG: C2/c, No. 15
total magnetic moment: 0.00 μB per cell
calculated total energy: -5.98 eV/atom



12.
InIr2Br | PBE-GGA | optimized geometry

Cell and atoms, written as extended XYZ:
```
4
Lattice="3.674 0.000 0.000 0.000 2.885 0.212 0.000 2.300 7.846" Properties=species:S:1:pos:R:3 pbc="T T T"
Ir 0.000 0.338 0.278
Ir 1.837 1.685 1.706
Br 0.000 1.554 3.502
In 1.837 4.200 6.601
```

Output
SG: Pm, No. 6
raw formation energy: 0.2917 eV/atom
ΔE to the lowest computed polymorph: 0 meV per atom
total magnetic moment: 0.00 μB per cell



Look up the total magnetic moment of the ninth one.
0.00 μB per cell